# YSc2In3

A geometry-optimized YSc2In3 structure (GGA-PBE, Alexandria).

Unit cell a=3.6031 b=3.6031 c=11.0404 alpha=90.00 beta=90.00 gamma=90.00
Last column: nearest neighbours and their distance in Å.
Sites, in units of the cell vectors:
Y (0.0000, 0.0000, 0.0000)  8 In 3.25, 4 Y 3.60
Sc (0.0000, 0.0000, 0.3417)  8 In 3.09
Sc (0.0000, 0.0000, 0.6583)  8 In 3.09
In (0.5000, 0.5000, 0.1832)  4 Sc 3.09, 4 Y 3.25
In (0.5000, 0.5000, 0.5000)  8 Sc 3.09
In (0.5000, 0.5000, 0.8168)  4 Sc 3.09, 4 Y 3.25

- Energy relative to the elements: -439 meV/atom
- Calculated volume: 143.3 Å³ per cell

***

# Mg8Hg3Au2

A geometry-optimized Mg8Hg3Au2 structure (GGA-PBE, Alexandria).

Unit cell a=8.1998 b=8.1998 c=4.6631 alpha=90.00 beta=90.00 gamma=111.02
Last column: nearest neighbours and their distance in Å.
Sites, in units of the cell vectors:
Mg (0.1097, 0.3800, 0.5000)  2 Au 2.75-2.84, 3 Hg 2.96-2.99
Mg (0.1342, 0.8658, 0.0000)  2 Au 2.80, 2 Hg 2.87, 1 Mg 3.11
Mg (0.3643, 0.6357, 0.0000)  2 Au 2.80, 4 Hg 2.97-3.04, 1 Mg 3.11
Mg (0.3800, 0.1097, 0.5000)  2 Au 2.75-2.84, 3 Hg 2.96-2.99
Mg (0.6200, 0.8903, 0.5000)  2 Au 2.75-2.84, 3 Hg 2.96-2.99
Mg (0.6357, 0.3643, 0.0000)  2 Au 2.80, 4 Hg 2.97-3.04, 1 Mg 3.11
Mg (0.8658, 0.1342, 0.0000)  2 Au 2.80, 2 Hg 2.87, 1 Mg 3.11
Mg (0.8903, 0.6200, 0.5000)  2 Au 2.75-2.84, 3 Hg 2.96-2.99
Hg (0.2393, 0.2393, 0.0000)  8 Mg 2.87-3.04
Hg (0.5000, 0.5000, 0.5000)  8 Mg 2.97-2.99
Hg (0.7607, 0.7607, 0.0000)  8 Mg 2.87-3.04
Au (0.2491, 0.7509, 0.5000)  8 Mg 2.75-2.84
Au (0.7509, 0.2491, 0.5000)  8 Mg 2.75-2.84

- Energy relative to the elements: -301 meV/atom
- Calculated volume: 292.7 Å³ per cell

***

# MnMo2P

A geometry-optimized MnMo2P structure (GGA-PBE, Alexandria).

Unit cell a=4.6853 b=4.6853 c=2.8237 alpha=99.98 beta=99.98 gamma=109.35
Last column: nearest neighbours and their distance in Å.
Sites, in units of the cell vectors:
Mn (0.0000, 0.0000, 0.0000)  4 Mo 2.52, 2 P 2.71
Mo (0.0000, 0.5000, 0.5000)  2 Mn 2.52, 2 P 2.52, 2 Mo 2.71
Mo (0.5000, 0.0000, 0.5000)  2 Mn 2.52, 2 P 2.52, 2 Mo 2.71
P (0.5000, 0.5000, 0.0000)  4 Mo 2.52, 2 Mn 2.71

- Energy relative to the elements: 68 meV/atom
- Calculated volume: 55.8 Å³ per cell

***

Ordered total energy results: -30.0; -24.1; -36.0; unit eV for the cell shown.